No. 1
The following is a DFT calculation (PBE) of a relaxed Ba3LiAu crystal.

calculated total energy	-2.463	eV/atom
SG	P2_1/m, No. 11
ΔE to the lowest computed polymorph	0	meV per atom
calculated formation energy	-271	meV per atom

a = 4.4345 Å, b = 9.9397 Å, c = 10.0121 Å
α = 90.00°, β = 90.20°, γ = 90.00°
Atoms (fractional coordinates):
Ba 0.2463 0.2500 0.4875
Ba 0.2518 0.5455 0.1736
Ba 0.2518 0.9545 0.1736
Ba 0.7482 0.0455 0.8264
Ba 0.7482 0.4545 0.8264
Ba 0.7537 0.7500 0.5125
Li 0.2499 0.7500 0.8502
Li 0.7501 0.2500 0.1498
Au 0.2491 0.2500 0.9913
Au 0.7509 0.7500 0.0087

No. 2
The following is a DFT calculation (PBE) of a relaxed Sr2SmPuSe4 crystal.

calculated total energy	-6.370	eV/atom
SG	P2/m, No. 10
uncorrected formation energy	-176.1	kJ/mol of atoms

a = 7.3985 Å, b = 4.2732 Å, c = 7.5233 Å
α = 90.00°, β = 109.20°, γ = 90.00°
Atoms (fractional coordinates):
Sr 0.0000 0.0000 0.0000
Sr 0.5000 0.5000 0.0000
Sm 0.0000 0.5000 0.5000
Pu 0.5000 0.0000 0.5000
Se 0.2447 0.0000 0.7364
Se 0.2549 0.5000 0.2645
Se 0.7451 0.5000 0.7355
Se 0.7553 0.0000 0.2636

No. 3
The following is a DFT calculation (PBE) of a relaxed Pr4NdEr2Tm2 crystal.

calculated total energy	-4.639	eV/atom
SG	C2/m, No. 12
calculated formation energy	22	meV per atom

a = 8.0858 Å, b = 8.0858 Å, c = 8.0752 Å
α = 107.14°, β = 107.14°, γ = 36.74°
Atoms (fractional coordinates):
Pr 0.0534 0.0534 0.3309
Pr 0.2764 0.2764 0.6690
Pr 0.7236 0.7236 0.3310
Pr 0.9466 0.9466 0.6691
Nd 0.5000 0.5000 0.0000
Er 0.3883 0.3883 0.3309
Er 0.6117 0.6117 0.6691
Tm 0.1689 0.1689 0.9992
Tm 0.8311 0.8311 0.0008

No. 4
The following is a DFT calculation (PBE) of a relaxed Tb3BeCo3 crystal.

calculated total energy	-5.731	eV/atom
SG	C2/m, No. 12
calculated formation energy	-169	meV per atom

a = 5.5390 Å, b = 5.5390 Å, c = 13.3423 Å
α = 110.33°, β = 110.33°, γ = 42.02°
Atoms (fractional coordinates):
Tb 0.0331 0.0331 0.3852
Tb 0.1058 0.1058 0.9220
Tb 0.2511 0.2511 0.2335
Tb 0.7489 0.7489 0.7665
Tb 0.8942 0.8942 0.0780
Tb 0.9669 0.9669 0.6148
Be 0.2562 0.2562 0.6016
Be 0.7438 0.7438 0.3984
Co 0.3290 0.3290 0.4648
Co 0.3999 0.3999 0.9199
Co 0.4459 0.4459 0.7632
Co 0.5541 0.5541 0.2368
Co 0.6001 0.6001 0.0801
Co 0.6710 0.6710 0.5352

No. 5
The following is a DFT calculation (PBE) of a relaxed Tl2CdSn2 crystal.

calculated total energy	-2.531	eV/atom
SG	I4/mmm, No. 139
ΔE to the lowest computed polymorph	147	meV per atom
calculated formation energy	200	meV per atom

a = 4.4594 Å, b = 4.4594 Å, c = 15.4723 Å
α = 90.00°, β = 90.00°, γ = 90.00°
Atoms (fractional coordinates):
Tl 0.0000 0.5000 0.2500
Tl 0.0000 0.5000 0.7500
Tl 0.5000 0.0000 0.2500
Tl 0.5000 0.0000 0.7500
Cd 0.0000 0.0000 0.0000
Cd 0.5000 0.5000 0.5000
Sn 0.0000 0.0000 0.4060
Sn 0.0000 0.0000 0.5940
Sn 0.5000 0.5000 0.0940
Sn 0.5000 0.5000 0.9060

No. 6
The following is a DFT calculation (PBE) of a relaxed Np4USe5 crystal.

calculated total energy	-9.090	eV/atom
SG	Immm, No. 71
uncorrected formation energy	-100.6	kJ/mol of atoms

a = 10.8878 Å, b = 10.8878 Å, c = 10.8878 Å
α = 158.45°, β = 149.19°, γ = 37.91°
Atoms (fractional coordinates):
Np 0.0997 0.0997 0.0000
Np 0.3003 0.3003 0.0000
Np 0.6997 0.6997 0.0000
Np 0.9003 0.9003 0.0000
U 0.5000 0.5000 0.0000
Se 0.0000 0.5000 0.5000
Se 0.2001 0.7001 0.5000
Se 0.3998 0.8998 0.5000
Se 0.6002 0.1002 0.5000
Se 0.7999 0.2999 0.5000

No. 7
The following is a DFT calculation (PBE) of a relaxed ScTcBi2N crystal.

calculated total energy	-6.306	eV/atom
SG	P4/mmm, No. 123
uncorrected formation energy	24.2	kJ/mol of atoms

a = 4.9726 Å, b = 4.9726 Å, c = 4.1148 Å
α = 90.00°, β = 90.00°, γ = 90.00°
Atoms (fractional coordinates):
Sc 0.0000 0.0000 0.0000
Tc 0.5000 0.5000 0.0000
Bi 0.0000 0.5000 0.5000
Bi 0.5000 0.0000 0.5000
N 0.0000 0.0000 0.5000

No. 8
The following is a DFT calculation (PBE) of a relaxed Cd3Ag2Pt crystal.

calculated total energy	-2.553	eV/atom
SG	Cmmm, No. 65
ΔE to the lowest computed polymorph	0	meV per atom
calculated formation energy	-139	meV per atom

a = 7.0876 Å, b = 7.0876 Å, c = 7.5843 Å
α = 90.00°, β = 90.00°, γ = 143.65°
Atoms (fractional coordinates):
Cd 0.0000 0.0000 0.2479
Cd 0.0000 0.0000 0.7521
Cd 0.3288 0.6712 0.2374
Cd 0.3288 0.6712 0.7626
Cd 0.6712 0.3288 0.2374
Cd 0.6712 0.3288 0.7626
Ag 0.1658 0.8342 0.5000
Ag 0.5000 0.5000 0.0000
Ag 0.5000 0.5000 0.5000
Ag 0.8342 0.1658 0.5000
Pt 0.1594 0.8406 0.0000
Pt 0.8406 0.1594 0.0000

Which of these has the highest calculated total energy?
Ba3LiAu

Copy entry 5 word for word.
The following is a DFT calculation (PBE) of a relaxed Tl2CdSn2 crystal.

calculated total energy	-2.531	eV/atom
SG	I4/mmm, No. 139
ΔE to the lowest computed polymorph	147	meV per atom
calculated formation energy	200	meV per atom

a = 4.4594 Å, b = 4.4594 Å, c = 15.4723 Å
α = 90.00°, β = 90.00°, γ = 90.00°
Atoms (fractional coordinates):
Tl 0.0000 0.5000 0.2500
Tl 0.0000 0.5000 0.7500
Tl 0.5000 0.0000 0.2500
Tl 0.5000 0.0000 0.7500
Cd 0.0000 0.0000 0.0000
Cd 0.5000 0.5000 0.5000
Sn 0.0000 0.0000 0.4060
Sn 0.0000 0.0000 0.5940
Sn 0.5000 0.5000 0.0940
Sn 0.5000 0.5000 0.9060